Material: DyRh2Pb2
Method: DFT, GGA-PBE
State: relaxed

The structure in extended XYZ format:
```
10
Lattice="4.7357 0.0000 0.0000 0.0000 4.5801 -0.0614 0.0000 0.1441 10.3296" Properties=species:S:1:pos:R:3 pbc="T T T"
Dy 3.5518 1.2403 6.9395
Dy 1.1839 3.4840 3.3287
Rh 1.1839 1.2176 5.1511
Rh 3.5518 3.4626 1.7529
Rh 1.1839 1.2617 8.5153
Rh 3.5518 3.5067 5.1171
Pb 3.5518 1.2891 10.2728
Pb 1.1839 3.5304 6.8878
Pb 1.1839 3.4351 -0.0045
Pb 3.5518 1.1939 3.3804
```

- uncorrected energy (Ry per atom) = -0.4250
- calculated formation energy (eV/atom) = -0.438
- space-group type = Pmmn
- density of states at the Fermi level (states/eV per cell) = 4.7